Entry 1:
! TePt4 | Alexandria via LeMat-Bulk | PBE-GGA | optimized geometry; values from VASP
! calculated volume: 23.3 A^3/atom
! electronic total energy: -4.3248 eV per atom
&SYSTEM
  ibrav = 0, nat = 5, ntyp = 2
/
ATOMIC_SPECIES
Te 127.60 Te.upf
Pt 195.08 Pt.upf
CELL_PARAMETERS angstrom
4.8810 0.0000 0.0000
0.0000 4.8810 0.0000
0.0000 0.0000 4.8810
ATOMIC_POSITIONS angstrom
Te 2.4405 2.4405 2.4405
Pt 0.0000 0.0000 0.0000
Pt 2.4405 0.0000 2.4405
Pt 0.0000 2.4405 2.4405
Pt 2.4405 2.4405 0.0000

Entry 2:
! Ac2NdYP4 | Alexandria via LeMat-Bulk | PBE-GGA | optimized geometry; values from VASP
! E_form: -1.490 eV per atom
! calculated volume: 27.6 A^3/atom
&SYSTEM
  ibrav = 0, nat = 8, ntyp = 4
/
ATOMIC_SPECIES
Ac 227.00 Ac.upf
Nd 144.24 Nd.upf
Y 88.91 Y.upf
P 30.97 P.upf
CELL_PARAMETERS angstrom
4.2711 0.0000 0.0000
0.0000 7.4070 -0.1538
0.0000 2.5991 6.9187
ATOMIC_POSITIONS angstrom
Ac 0.0000 2.5991 6.9187
Ac 2.1356 1.2996 3.4593
Nd 2.1356 3.7035 -0.0769
Y 0.0000 5.0030 3.3825
P 0.0001 7.3830 5.0883
P 4.2711 2.6231 1.6766
P 2.1356 6.0879 1.6881
P 2.1356 3.9182 5.0767

Entry 3:
! UTa2TcC4 | Alexandria via LeMat-Bulk | PBE-GGA | optimized geometry; values from VASP
! E_form: -0.197 eV per atom
! calculated volume: 12.5 A^3/atom
&SYSTEM
  ibrav = 0, nat = 16, ntyp = 4
/
ATOMIC_SPECIES
U 238.03 U.upf
Ta 180.95 Ta.upf
Tc 98.00 Tc.upf
C 12.01 C.upf
CELL_PARAMETERS angstrom
-1.7917 -2.0746 1.6363
4.0058 -3.2498 -2.8485
6.8737 0.8884 8.6527
ATOMIC_POSITIONS angstrom
U 5.8551 -0.2985 6.0326
U 3.2327 -4.1376 1.4078
Ta 6.0181 -2.7073 3.1571
Ta 0.1726 -2.1033 0.6365
Ta 3.0697 -1.7288 4.2834
Ta 8.9152 -2.3328 6.8040
Tc 6.4307 -3.3642 5.8901
Tc 2.6571 -1.0719 1.5504
C 2.4727 -2.1970 -0.0780
C 4.7856 -2.4756 5.2154
C 6.6151 -2.2391 7.5185
C 4.3022 -1.9605 2.2250
C 3.4368 0.4442 4.3264
C 0.0000 0.0000 0.0000
C 8.0005 -3.2559 4.6320
C 1.0873 -1.1802 2.8085

| no. | total moment (μB/cell) |
| --- | --- |
| 1 | 0.00 |
| 2 | 0.00 |
| 3 | 2.18 |